# PaVGa2O8

Crystalline PaVGa2O8 at its relaxed geometry (GGA+U, Alexandria).

Output
Size of the total moment, μB per formula unit: 0.0
E, eV per atom: -7.3159

The structure in POSCAR format:
```
PaVGa2O8
1.0
5.720 0.359 0.000
-2.216 5.286 0.000
-1.752 -2.822 4.671
V Ga O Pa
1 2 8 1
Direct
0.000 0.000 0.000
0.750 0.250 0.500
0.500 0.500 0.000
0.293 0.474 0.182
0.939 0.649 0.711
0.772 0.061 0.711
0.526 0.707 0.818
0.939 0.228 0.289
0.889 0.707 0.182
0.293 0.111 0.818
0.351 0.061 0.289
0.250 0.750 0.500
```